1.
The following is a PBE-GGA calculation of a geometry-optimized ScIn2Rh structure, from Alexandria via LeMat-Bulk.

a = 5.0860 Å, b = 5.0860 Å, c = 4.9964 Å
α = 73.21°, β = 73.21°, γ = 41.03°
Positions (direct):
In 0.0165 0.0165 0.9723
In 0.4835 0.4835 0.5277
Rh 0.7500 0.7500 0.7500
Sc 0.2500 0.2500 0.2500

## Properties
symmetry = C2/m
Fermi-level density of states = 2.3 states/eV per cell
calculated formation energy = -0.37 eV per atom
electronic total energy = -20.6 eV for the cell shown
crystal system = monoclinic
total magnetization = 0.0 μB per cell



2.
The following is a PBE-GGA calculation of a geometry-optimized MoOs structure, from Alexandria via LeMat-Bulk.

a = 4.8159 Å, b = 5.2889 Å, c = 2.7788 Å
α = 74.77°, β = 90.00°, γ = 116.89°
Positions (direct):
Mo 0.9911 0.9832 0.0084
Mo 0.0922 0.5168 0.2416
Os 0.5075 0.0120 0.4940
Os 0.5758 0.4880 0.7560

## Properties
symmetry = C2/m
Fermi-level density of states = 3.0 states/eV per cell
calculated formation energy = 0.03 eV per atom
electronic total energy = -44.0 eV for the cell shown
crystal system = monoclinic
total magnetization = 0.0 μB per cell